Below is Ac6PmPb10 after structural relaxation, with properties calculated at the PBE-GGA level.

a = 10.0244 Å, b = 10.0244 Å, c = 6.8790 Å
α = 90.00°, β = 90.00°, γ = 120.00°
Last column: nearest neighbours and their distance in Å.
Fractional coordinates of all 17 atoms:
Ac (0.0000, 0.3900, 0.2646)  8 Pb 3.44-3.66
Ac (0.0000, 0.6100, 0.7354)  8 Pb 3.44-3.66
Ac (0.3900, 0.0000, 0.2646)  8 Pb 3.44-3.66
Ac (0.3900, 0.3900, 0.7354)  8 Pb 3.44-3.66
Ac (0.6100, 0.0000, 0.7354)  8 Pb 3.44-3.66
Ac (0.6100, 0.6100, 0.2646)  8 Pb 3.44-3.66
Pm (0.0000, 0.0000, 0.5000)  6 Pb 3.27
Pb (0.0000, 0.2483, 0.8085)  1 Pm 3.27, 4 Ac 3.44-3.66, 2 Pb 3.62
Pb (0.0000, 0.7517, 0.1915)  1 Pm 3.27, 4 Ac 3.44-3.66, 2 Pb 3.62
Pb (0.2483, 0.0000, 0.8085)  1 Pm 3.27, 4 Ac 3.44-3.66, 2 Pb 3.62
Pb (0.2483, 0.2483, 0.1915)  1 Pm 3.27, 4 Ac 3.44-3.66, 2 Pb 3.62
Pb (0.3333, 0.6667, 0.0000)  2 Pb 3.44, 6 Ac 3.59
Pb (0.3333, 0.6667, 0.5000)  2 Pb 3.44, 6 Ac 3.49
Pb (0.6667, 0.3333, 0.0000)  2 Pb 3.44, 6 Ac 3.59
Pb (0.6667, 0.3333, 0.5000)  2 Pb 3.44, 6 Ac 3.49
Pb (0.7517, 0.0000, 0.1915)  1 Pm 3.27, 4 Ac 3.44-3.66, 2 Pb 3.62
Pb (0.7517, 0.7517, 0.8085)  1 Pm 3.27, 4 Ac 3.44-3.66, 2 Pb 3.62

- Calculated volume: 598.7 Å³/f.u.
- Formation enthalpy at 0 K: -399 meV per atom
- SG: P-31m, No. 162